Material: BS2Br2
Method: DFT, PBE-GGA
State: optimized geometry

Summary:
The calculation puts the density of states at the Fermi level at 6.15 states/eV per cell. The formation energy (no corrections) comes out at 27 kJ/mol of atoms. The energy above the most stable polymorph in this dataset is 0.000 eV per atom. As for the crystal system: tetragonal. As for the calculated volume: 142.3 Å³/cell.

a = 5.8188 Å, b = 5.8188 Å, c = 5.8188 Å
α = 118.50°, β = 118.50°, γ = 92.62°
Positions (direct):
B: 0.0000 0.0000 0.0000
S: 0.2093 0.2093 0.0000
S: 0.7907 0.7907 0.0000
Br: 0.2500 0.7500 0.5000
Br: 0.7500 0.2500 0.5000